[1]
Here is a geometry-optimized NaTaSeBr2 structure from the Alexandria database. Energies are from GGA-PBE.

Unit cell a=4.9647 b=4.9647 c=5.3495 alpha=90.00 beta=90.00 gamma=90.00
Positions (direct):
1 Na 0.0000 0.0000 0.0000
2 Ta 0.5000 0.5000 0.5000
3 Se 0.0000 0.0000 0.5000
4 Br 0.0000 0.5000 0.0000
5 Br 0.5000 0.0000 0.0000

Computed properties:
Excess energy over the best structure of this formula in the dataset = 1251 meV per atom
SG = P4/mmm
Crystal system = tetragonal
E_form (uncorrected) = 69.06 kJ/mol of atoms
Volume = 131.85 Å³/f.u.

[2]
Here is a geometry-optimized Tb6NdDy2Er3 structure from the Alexandria database. Energies are from GGA-PBE.

Unit cell a=6.1511 b=6.1511 c=11.7741 alpha=94.97 beta=94.97 gamma=119.96
Positions (direct):
1 Tb 0.0813 0.4153 0.2475
2 Tb 0.2507 0.2507 0.7524
3 Tb 0.4153 0.0813 0.2475
4 Tb 0.5847 0.9187 0.7525
5 Tb 0.7493 0.7493 0.2476
6 Tb 0.9187 0.5847 0.7525
7 Nd 0.5000 0.5000 0.5000
8 Dy 0.1667 0.8333 0.5000
9 Dy 0.8333 0.1667 0.5000
10 Er 0.0000 0.0000 0.0000
11 Er 0.3330 0.6670 0.0000
12 Er 0.6670 0.3330 0.0000

Computed properties:
Raw total energy = -4.604 eV per atom
SG = C2/m
Crystal system = monoclinic
Volume = 380.14 Å³/f.u.

[3]
Here is a geometry-optimized Hf3Ta5N12 structure from the Alexandria database. Energies are from GGA-PBE.

Unit cell a=10.8719 b=10.8719 c=10.8719 alpha=109.47 beta=109.47 gamma=109.47
Positions (direct):
1 Hf 0.1250 0.2500 0.3750
2 Hf 0.1250 0.3750 0.7500
3 Hf 0.2500 0.3750 0.1250
4 Hf 0.2500 0.8750 0.6250
5 Hf 0.3750 0.1250 0.2500
6 Hf 0.3750 0.7500 0.1250
7 Hf 0.6250 0.2500 0.8750
8 Hf 0.6250 0.8750 0.7500
9 Hf 0.7500 0.1250 0.3750
10 Hf 0.7500 0.6250 0.8750
11 Hf 0.8750 0.6250 0.2500
12 Hf 0.8750 0.7500 0.6250
13 Ta 0.0000 0.0000 0.0000
14 Ta 0.0000 0.0000 0.5000
15 Ta 0.0000 0.5000 0.0000
16 Ta 0.0000 0.5000 0.5000
17 Ta 0.1250 0.7500 0.8750
18 Ta 0.1250 0.8750 0.2500
19 Ta 0.2500 0.1250 0.8750
20 Ta 0.2500 0.6250 0.3750
21 Ta 0.3750 0.2500 0.6250
22 Ta 0.3750 0.6250 0.7500
23 Ta 0.5000 0.0000 0.0000
24 Ta 0.5000 0.0000 0.5000
25 Ta 0.5000 0.5000 0.0000
26 Ta 0.5000 0.5000 0.5000
27 Ta 0.6250 0.3750 0.2500
28 Ta 0.6250 0.7500 0.3750
29 Ta 0.7500 0.3750 0.6250
30 Ta 0.7500 0.8750 0.1250
31 Ta 0.8750 0.1250 0.7500
32 Ta 0.8750 0.2500 0.1250
33 N 0.0386 0.2163 0.1254
34 N 0.0386 0.3223 0.9132
35 N 0.0868 0.6254 0.4091
36 N 0.0868 0.9614 0.6777
37 N 0.0909 0.7163 0.6777
38 N 0.0909 0.8746 0.4132
39 N 0.1254 0.0386 0.2163
40 N 0.1254 0.5868 0.9091
41 N 0.1777 0.2163 0.5909
42 N 0.1777 0.4614 0.5868
43 N 0.2163 0.1254 0.0386
44 N 0.2163 0.5909 0.1777
45 N 0.2837 0.3223 0.9091
46 N 0.2837 0.4614 0.3746
47 N 0.3223 0.9091 0.2837
48 N 0.3223 0.9132 0.0386
49 N 0.3746 0.2837 0.4614
50 N 0.3746 0.5909 0.9132
51 N 0.4091 0.0868 0.6254
52 N 0.4091 0.8223 0.7837
53 N 0.4132 0.0909 0.8746
54 N 0.4132 0.8223 0.5386
55 N 0.4614 0.3746 0.2837
56 N 0.4614 0.5868 0.1777
57 N 0.5386 0.4132 0.8223
58 N 0.5386 0.6254 0.7163
59 N 0.5868 0.1777 0.4614
60 N 0.5868 0.9091 0.1254
61 N 0.5909 0.1777 0.2163
62 N 0.5909 0.9132 0.3746
63 N 0.6254 0.4091 0.0868
64 N 0.6254 0.7163 0.5386
65 N 0.6777 0.0868 0.9614
66 N 0.6777 0.0909 0.7163
67 N 0.7163 0.5386 0.6254
68 N 0.7163 0.6777 0.0909
69 N 0.7837 0.4091 0.8223
70 N 0.7837 0.8746 0.9614
71 N 0.8223 0.5386 0.4132
72 N 0.8223 0.7837 0.4091
73 N 0.8746 0.4132 0.0909
74 N 0.8746 0.9614 0.7837
75 N 0.9091 0.1254 0.5868
76 N 0.9091 0.2837 0.3223
77 N 0.9132 0.0386 0.3223
78 N 0.9132 0.3746 0.5909
79 N 0.9614 0.6777 0.0868
80 N 0.9614 0.7837 0.8746

Computed properties:
SG = Ia-3d
Crystal system = cubic
E_form (uncorrected) = -104.93 kJ/mol of atoms
Volume = 247.31 Å³/f.u.

[4]
Here is a geometry-optimized SrLi3C structure from the Alexandria database. Energies are from GGA-PBE.

Unit cell a=4.3838 b=4.3838 c=4.3838 alpha=90.00 beta=90.00 gamma=90.00
Positions (direct):
1 Sr 0.0000 0.0000 0.0000
2 Li 0.0000 0.5000 0.5000
3 Li 0.5000 0.0000 0.5000
4 Li 0.5000 0.5000 0.0000
5 C 0.5000 0.5000 0.5000

Computed properties:
Excess energy over the best structure of this formula in the dataset = 0 meV per atom
SG = Pm-3m
Crystal system = cubic
Volume = 84.25 Å³/f.u.

[5]
Here is a geometry-optimized Y2PtF structure from the Alexandria database. Energies are from GGA-PBE.

Unit cell a=4.8870 b=4.8870 c=4.8870 alpha=60.00 beta=60.00 gamma=60.00
Positions (direct):
1 Y 0.2500 0.2500 0.2500
2 Y 0.7500 0.7500 0.7500
3 Pt 0.0000 0.0000 0.0000
4 F 0.5000 0.5000 0.5000

Computed properties:
Excess energy over the best structure of this formula in the dataset = 113 meV per atom
SG = Fm-3m
Crystal system = cubic
E_form (uncorrected) = -143.98 kJ/mol of atoms
Volume = 82.53 Å³/f.u.

[6]
Here is a geometry-optimized Li7BiSb4 structure from the Alexandria database. Energies are from GGA-PBE.

Unit cell a=6.5755 b=6.5755 c=10.2286 alpha=121.19 beta=121.19 gamma=46.74
Positions (direct):
1 Li 0.0000 0.0000 0.0000
2 Li 0.1814 0.1814 0.8998
3 Li 0.2292 0.2292 0.6579
4 Li 0.4097 0.4097 0.5564
5 Li 0.5903 0.5903 0.4436
6 Li 0.7708 0.7708 0.3421
7 Li 0.8186 0.8186 0.1002
8 Bi 0.5000 0.5000 0.0000
9 Sb 0.1118 0.1118 0.3173
10 Sb 0.3075 0.3075 0.2299
11 Sb 0.6925 0.6925 0.7701
12 Sb 0.8882 0.8882 0.6827

Computed properties:
SG = C2/m
Crystal system = monoclinic
E_form (uncorrected) = -31.48 kJ/mol of atoms
Volume = 265.93 Å³/f.u.

[7]
Here is a geometry-optimized K2SrCaC structure from the Alexandria database. Energies are from GGA-PBE.

Unit cell a=6.5276 b=6.5276 c=4.8581 alpha=90.00 beta=90.00 gamma=90.00
Positions (direct):
1 K 0.0000 0.5000 0.0000
2 K 0.5000 0.0000 0.0000
3 Sr 0.0000 0.0000 0.5000
4 Ca 0.5000 0.5000 0.5000
5 C 0.5000 0.5000 0.0000

Computed properties:
Raw total energy = -2.246 eV per atom
SG = P4/mmm
Crystal system = tetragonal
Volume = 207.01 Å³/f.u.

[8]
Here is a geometry-optimized LaIn3O structure from the Alexandria database. Energies are from GGA-PBE.

Unit cell a=4.9460 b=4.9460 c=4.9460 alpha=90.00 beta=90.00 gamma=90.00
Positions (direct):
1 La 0.0000 0.0000 0.0000
2 In 0.0000 0.5000 0.5000
3 In 0.5000 0.0000 0.5000
4 In 0.5000 0.5000 0.0000
5 O 0.5000 0.5000 0.5000

Computed properties:
Excess energy over the best structure of this formula in the dataset = 0 meV per atom
SG = Pm-3m
Crystal system = cubic
E_form (uncorrected) = -45.02 kJ/mol of atoms
Volume = 120.99 Å³/f.u.

[9]
Here is a geometry-optimized HgPd4F12 structure from the Alexandria database. Energies are from GGA-PBE.

Unit cell a=7.0342 b=7.0342 c=7.0342 alpha=112.92 beta=107.84 gamma=107.70
Positions (direct):
1 Hg 0.0000 0.0000 0.0000
2 Pd 0.0000 0.0000 0.5000
3 Pd 0.0000 0.5000 0.0000
4 Pd 0.5000 0.0000 0.0000
5 Pd 0.5000 0.5000 0.5000
6 F 0.0031 0.6984 0.3047
7 F 0.2371 0.1920 0.4291
8 F 0.2371 0.8080 0.0452
9 F 0.2400 0.0492 0.8092
10 F 0.2400 0.4308 0.1908
11 F 0.3937 0.6984 0.6953
12 F 0.6063 0.3016 0.3047
13 F 0.7600 0.5692 0.8092
14 F 0.7600 0.9508 0.1908
15 F 0.7629 0.1920 0.9548
16 F 0.7629 0.8080 0.5709
17 F 0.9969 0.3016 0.6953

Computed properties:
SG = Immm
Crystal system = orthorhombic
E_form (uncorrected) = -119.31 kJ/mol of atoms
Volume = 267.20 Å³/f.u.

[10]
Here is a geometry-optimized Tm4RhS3 structure from the Alexandria database. Energies are from GGA-PBE.

Unit cell a=6.8165 b=6.8165 c=3.8291 alpha=90.00 beta=90.00 gamma=108.68
Positions (direct):
1 Tm 0.2412 0.2412 0.5000
2 Tm 0.2460 0.7540 0.0000
3 Tm 0.7540 0.2460 0.0000
4 Tm 0.7588 0.7588 0.5000
5 Rh 0.0000 0.0000 0.0000
6 S 0.0000 0.5000 0.5000
7 S 0.5000 0.0000 0.5000
8 S 0.5000 0.5000 0.0000

Computed properties:
SG = Cmmm
Crystal system = orthorhombic
E_form (uncorrected) = -155.98 kJ/mol of atoms
Volume = 168.55 Å³/f.u.

[11]
Here is a geometry-optimized Na12Pd3F5 structure from the Alexandria database. Energies are from GGA-PBE.

Unit cell a=13.1031 b=13.1031 c=13.1031 alpha=109.47 beta=109.47 gamma=109.47
Positions (direct):
1 Na 0.0240 0.2037 0.1209
2 Na 0.0240 0.3203 0.9031
3 Na 0.0828 0.7037 0.6797
4 Na 0.0828 0.8791 0.4031
5 Na 0.0969 0.6209 0.4172
6 Na 0.0969 0.9760 0.6797
7 Na 0.1209 0.0240 0.2037
8 Na 0.1209 0.5969 0.9172
9 Na 0.1797 0.2037 0.5828
10 Na 0.1797 0.4760 0.5969
11 Na 0.2037 0.1209 0.0240
12 Na 0.2037 0.5828 0.1797
13 Na 0.2963 0.3203 0.9172
14 Na 0.2963 0.4760 0.3791
15 Na 0.3203 0.9031 0.0240
16 Na 0.3203 0.9172 0.2963
17 Na 0.3791 0.2963 0.4760
18 Na 0.3791 0.5828 0.9031
19 Na 0.4031 0.0828 0.8791
20 Na 0.4031 0.8203 0.5240
21 Na 0.4172 0.0969 0.6209
22 Na 0.4172 0.8203 0.7963
23 Na 0.4760 0.3791 0.2963
24 Na 0.4760 0.5969 0.1797
25 Na 0.5240 0.4031 0.8203
26 Na 0.5240 0.6209 0.7037
27 Na 0.5828 0.1797 0.2037
28 Na 0.5828 0.9031 0.3791
29 Na 0.5969 0.1797 0.4760
30 Na 0.5969 0.9172 0.1209
31 Na 0.6209 0.4172 0.0969
32 Na 0.6209 0.7037 0.5240
33 Na 0.6797 0.0828 0.7037
34 Na 0.6797 0.0969 0.9760
35 Na 0.7037 0.5240 0.6209
36 Na 0.7037 0.6797 0.0828
37 Na 0.7963 0.4172 0.8203
38 Na 0.7963 0.8791 0.9760
39 Na 0.8203 0.5240 0.4031
40 Na 0.8203 0.7963 0.4172
41 Na 0.8791 0.4031 0.0828
42 Na 0.8791 0.9760 0.7963
43 Na 0.9031 0.0240 0.3203
44 Na 0.9031 0.3791 0.5828
45 Na 0.9172 0.1209 0.5969
46 Na 0.9172 0.2963 0.3203
47 Na 0.9760 0.6797 0.0969
48 Na 0.9760 0.7963 0.8791
49 Pd 0.1250 0.2500 0.3750
50 Pd 0.1250 0.3750 0.7500
51 Pd 0.2500 0.3750 0.1250
52 Pd 0.2500 0.8750 0.6250
53 Pd 0.3750 0.1250 0.2500
54 Pd 0.3750 0.7500 0.1250
55 Pd 0.6250 0.2500 0.8750
56 Pd 0.6250 0.8750 0.7500
57 Pd 0.7500 0.1250 0.3750
58 Pd 0.7500 0.6250 0.8750
59 Pd 0.8750 0.6250 0.2500
60 Pd 0.8750 0.7500 0.6250
61 F 0.0000 0.0000 0.0000
62 F 0.0000 0.0000 0.5000
63 F 0.0000 0.5000 0.0000
64 F 0.0000 0.5000 0.5000
65 F 0.1250 0.7500 0.8750
66 F 0.1250 0.8750 0.2500
67 F 0.2500 0.1250 0.8750
68 F 0.2500 0.6250 0.3750
69 F 0.3750 0.2500 0.6250
70 F 0.3750 0.6250 0.7500
71 F 0.5000 0.0000 0.0000
72 F 0.5000 0.0000 0.5000
73 F 0.5000 0.5000 0.0000
74 F 0.5000 0.5000 0.5000
75 F 0.6250 0.3750 0.2500
76 F 0.6250 0.7500 0.3750
77 F 0.7500 0.3750 0.6250
78 F 0.7500 0.8750 0.1250
79 F 0.8750 0.1250 0.7500
80 F 0.8750 0.2500 0.1250

Computed properties:
SG = Ia-3d
Crystal system = cubic
E_form (uncorrected) = -120.11 kJ/mol of atoms
Volume = 432.95 Å³/f.u.

[12]
Here is a geometry-optimized Al2BP structure from the Alexandria database. Energies are from GGA-PBE.

Unit cell a=4.2156 b=4.2156 c=4.2156 alpha=60.00 beta=60.00 gamma=60.00
Positions (direct):
1 Al 0.2500 0.2500 0.2500
2 Al 0.7500 0.7500 0.7500
3 B 0.0000 0.0000 0.0000
4 P 0.5000 0.5000 0.5000

Computed properties:
Excess energy over the best structure of this formula in the dataset = 348 meV per atom
SG = Fm-3m
Crystal system = cubic
Volume = 52.98 Å³/f.u.

[13]
Here is a geometry-optimized UV2Pt structure from the Alexandria database. Energies are from GGA-PBE.

Unit cell a=4.4748 b=4.4748 c=4.4748 alpha=60.00 beta=60.00 gamma=60.00
Positions (direct):
1 U 0.0000 0.0000 0.0000
2 V 0.2500 0.2500 0.2500
3 V 0.7500 0.7500 0.7500
4 Pt 0.5000 0.5000 0.5000

Computed properties:
Excess energy over the best structure of this formula in the dataset = 144 meV per atom
SG = Fm-3m
Crystal system = cubic
Volume = 63.36 Å³/f.u.

[14]
Here is a geometry-optimized Ba2TmPt3O12 structure from the Alexandria database. Energies are from GGA-PBE.

Unit cell a=7.1400 b=7.1400 c=7.1400 alpha=61.42 beta=61.42 gamma=61.42
Positions (direct):
1 Ba 0.1162 0.1162 0.1162
2 Ba 0.8838 0.8838 0.8838
3 Tm 0.5000 0.5000 0.5000
4 Pt 0.0000 0.5000 0.5000
5 Pt 0.5000 0.0000 0.5000
6 Pt 0.5000 0.5000 0.0000
7 O 0.1201 0.6098 0.6098
8 O 0.1882 0.1882 0.6209
9 O 0.1882 0.6209 0.1882
10 O 0.3791 0.8118 0.8118
11 O 0.3902 0.3902 0.8799
12 O 0.3902 0.8799 0.3902
13 O 0.6098 0.1201 0.6098
14 O 0.6098 0.6098 0.1201
15 O 0.6209 0.1882 0.1882
16 O 0.8118 0.3791 0.8118
17 O 0.8118 0.8118 0.3791
18 O 0.8799 0.3902 0.3902

Computed properties:
SG = R-3m
Crystal system = trigonal
E_form (uncorrected) = -125.46 kJ/mol of atoms
Volume = 265.57 Å³/f.u.

[15]
Here is a geometry-optimized Ho4Zr3O12 structure from the Alexandria database. Energies are from GGA-PBE.

Unit cell a=6.3898 b=6.4775 c=12.8510 alpha=99.35 beta=99.29 gamma=99.28
Positions (direct):
1 Ho 0.1123 0.1345 0.4025
2 Ho 0.1911 0.3903 0.6820
3 Ho 0.2024 0.3884 0.1815
4 Ho 0.3590 0.6934 0.9475
5 Ho 0.6410 0.3066 0.0525
6 Ho 0.7976 0.6116 0.8185
7 Ho 0.8089 0.6097 0.3180
8 Ho 0.8877 0.8655 0.5975
9 Zr 0.1081 0.1447 0.9056
10 Zr 0.3516 0.6727 0.4465
11 Zr 0.4917 0.9933 0.7466
12 Zr 0.5083 0.0067 0.2534
13 Zr 0.6484 0.3273 0.5535
14 Zr 0.8919 0.8553 0.0944
15 O 0.0651 0.8298 0.9621
16 O 0.0724 0.4171 0.8419
17 O 0.0877 0.8191 0.4616
18 O 0.0894 0.4309 0.3417
19 O 0.1796 0.0582 0.7143
20 O 0.1826 0.0379 0.2046
21 O 0.3152 0.4093 0.0303
22 O 0.3255 0.4227 0.5340
23 O 0.4234 0.0777 0.9067
24 O 0.4234 0.6936 0.2921
25 O 0.4274 0.6821 0.7796
26 O 0.4685 0.1110 0.4108
27 O 0.5315 0.8890 0.5892
28 O 0.5726 0.3179 0.2204
29 O 0.5766 0.3064 0.7079
30 O 0.5766 0.9223 0.0933
31 O 0.6745 0.5773 0.4660
32 O 0.6848 0.5907 0.9697
33 O 0.8174 0.9621 0.7954
34 O 0.8204 0.9418 0.2857
35 O 0.9106 0.5691 0.6583
36 O 0.9123 0.1809 0.5384
37 O 0.9276 0.5829 0.1581
38 O 0.9349 0.1702 0.0379

Computed properties:
Excess energy over the best structure of this formula in the dataset = 6 meV per atom
SG = P-1
Crystal system = triclinic
E_form (uncorrected) = -338.94 kJ/mol of atoms
Volume = 254.13 Å³/f.u.

[16]
Here is a geometry-optimized ScAg2IrPt structure from the Alexandria database. Energies are from GGA-PBE.

Unit cell a=5.0138 b=5.0138 c=4.7132 alpha=90.00 beta=90.00 gamma=90.00
Positions (direct):
1 Sc 0.0000 0.0000 0.0000
2 Ag 0.0000 0.5000 0.5000
3 Ag 0.5000 0.0000 0.5000
4 Ir 0.0000 0.0000 0.5000
5 Pt 0.5000 0.5000 0.0000

Computed properties:
Raw total energy = -4.642 eV per atom
SG = P4/mmm
Crystal system = tetragonal
Volume = 118.48 Å³/f.u.

| no. | Fermi-level density of states (states/eV/f.u.) |
| --- | --- |
| 1 | 4.3 |
| 2 | 15.4 |
| 3 | 2.0 |
| 4 | 2.3 |
| 5 | 5.1 |
| 6 | 5.6 |
| 7 | 1.2 |
| 8 | 3.9 |
| 9 | 8.0 |
| 10 | 5.2 |
| 11 | 3.3 |
| 12 | 2.5 |
| 13 | 8.3 |
| 14 | 13.3 |
| 15 | 0.0 |
| 16 | 3.7 |